Density functional theory data (GGA-PBE) for a geometry-optimized Al6Co5Ni structure.

The space group is Cmmm (No. 65) and the conventional cell measures 4.0441, 12.1450 and 5.7260 Å, with angles of 90.00, 90.00 and 90.00 degrees. Symmetry generates all atoms from Al at (0.0000, 0.0000, 0.2477), Al at (0.0000, 0.3321, 0.2490), Co at (0.0000, 0.1657, 0.0000), Co at (0.0000, 0.1658, 0.5000), Co at (0.0000, 0.5000, 0.0000) and Ni at (0.0000, 0.5000, 0.5000).

For the final energy, the calculation gives -5.917 eV per atom.